A relaxed DyHfHgAu crystal. Source: Alexandria, functional PBE.

For the calculated volume, the calculation gives 22.38 A^3/atom. The value obtained for the formation energy is -0.353 eV per atom.

The structure belongs to space group F-43m (No. 216); the cell edges are 7.101, 7.101 and 7.101 Å and the angles 90.00°, 90.00° and 90.00°. The asymmetric unit holds Dy at (0.000, 0.000, 0.000), Hf at (0.000, 0.000, 0.500), Hg at (0.250, 0.250, 0.750) and Au at (0.250, 0.250, 0.250).